one | A plane-wave DFT calculation with PBE was carried out for crystalline Sr3TaF at its relaxed geometry.

Computed properties:
Fermi-level density of states, states/eV/cell: 6.64
Volume, Å³ per cell: 225.15

Cell: 6.084 6.084 6.084 Å, 90.00 90.00 90.00°
Space group Pm-3m (No. 221)
Symmetry-distinct sites (fractional):
Sr: 0.000 0.000 0.500
Ta: 0.000 0.000 0.000
F: 0.500 0.500 0.500

two | A plane-wave DFT calculation with PBE was carried out for crystalline Sr3TaF at its relaxed geometry.

Computed properties:
Fermi-level density of states, states/eV/cell: 1.69
Volume, Å³ per cell: 150.00

Cell: 5.313 5.313 5.313 Å, 90.00 90.00 90.00°
Space group Pm-3m (No. 221)
Symmetry-distinct sites (fractional):
Sr: 0.000 0.000 0.500
Ta: 0.500 0.500 0.500
F: 0.000 0.000 0.000

Question: which arrangement is favored energetically? Ranking from most to least stable: two, one.

one | A plane-wave DFT calculation with PBE was carried out for crystalline SrTe3F at its relaxed geometry.

Computed properties:
Fermi-level density of states, states/eV/cell: 3.45
Volume, Å³ per cell: 269.48

Cell: 6.459 6.459 6.459 Å, 90.00 90.00 90.00°
Space group Pm-3m (No. 221)
Symmetry-distinct sites (fractional):
Sr: 0.000 0.000 0.000
Te: 0.000 0.000 0.500
F: 0.500 0.500 0.500

two | A plane-wave DFT calculation with PBE was carried out for crystalline SrTe3F at its relaxed geometry.

Computed properties:
Fermi-level density of states, states/eV/cell: 1.59
Volume, Å³ per cell: 133.65

Cell: 5.113 5.113 5.113 Å, 90.00 90.00 90.00°
Space group Pm-3m (No. 221)
Symmetry-distinct sites (fractional):
Sr: 0.000 0.000 0.000
Te: 0.000 0.500 0.500
F: 0.500 0.500 0.500

Question: which arrangement is favored energetically? Ranking from most to least stable: two, one.

one | A plane-wave DFT calculation with PBE was carried out for crystalline SrTeF3 at its relaxed geometry.

Computed properties:
Fermi-level density of states, states/eV/cell: 0.00
Volume, Å³ per cell: 110.33

Cell: 4.796 4.796 4.796 Å, 90.00 90.00 90.00°
Space group Pm-3m (No. 221)
Symmetry-distinct sites (fractional):
Sr: 0.000 0.000 0.000
Te: 0.500 0.500 0.500
F: 0.000 0.000 0.500

two | A plane-wave DFT calculation with PBE was carried out for crystalline SrTeF3 at its relaxed geometry.

Computed properties:
Fermi-level density of states, states/eV/cell: 2.46
Volume, Å³ per cell: 112.96

Cell: 4.834 4.834 4.834 Å, 90.00 90.00 90.00°
Space group Pm-3m (No. 221)
Symmetry-distinct sites (fractional):
Sr: 0.000 0.000 0.000
Te: 0.500 0.500 0.500
F: 0.000 0.500 0.500

Question: which arrangement is favored energetically? Ranking from most to least stable: one, two.

one | A plane-wave DFT calculation with PBE was carried out for crystalline SrTiF2 at its relaxed geometry.

Computed properties:
Fermi-level density of states, states/eV/cell: 7.03
Volume, Å³ per cell: 285.15

Cell: 6.582 6.582 6.582 Å, 90.00 90.00 90.00°
Space group Fm-3m (No. 225)
Symmetry-distinct sites (fractional):
Sr: 0.000 0.000 0.000
Ti: 0.000 0.000 0.500
F: 0.250 0.250 0.250

two | A plane-wave DFT calculation with PBE was carried out for crystalline SrTiF2 at its relaxed geometry.

Computed properties:
Fermi-level density of states, states/eV/cell: 10.21
Volume, Å³ per cell: 243.50

Cell: 3.9696 3.9696 17.8427 Å, 90.00 90.00 120.00°
Space group R-3m (No. 166, hexagonal axes)
Symmetry-distinct sites (fractional):
Sr: 0.0000 0.0000 0.0000
Ti: 0.0000 0.0000 0.5000
F: 0.0000 0.0000 0.3834

Question: which arrangement is favored energetically? Ranking from most to least stable: two, one.